(1)
Crystalline AgMo2W at its relaxed geometry, computed with PBE.

Structure (POSCAR):
```
AgMo2W
1.0
0.909 -2.482 3.671
-0.248 1.868 4.112
-3.336 -1.174 2.820
Mo Ag W
2 1 1
direct
0.750 0.750 0.750 Mo
0.250 0.250 0.250 Mo
0.000 0.000 0.000 Ag
0.500 0.500 0.500 W
```

Summary:
DFT formation energy ... 55 kJ per mole of atoms
Total moment ... 0.0 μB per cell
Energy above the most stable polymorph in this dataset ... 322 meV/atom
D(E_F) ... 3.21 states/eV/cell

---

(2)
Crystalline Pm5Cd4Ni at its relaxed geometry, computed with PBE.

Structure (POSCAR):
```
Pm5Cd4Ni
1.0
3.701 0.000 0.000
0.000 3.701 0.000
0.000 0.000 19.460
Pm Cd Ni
5 4 1
direct
0.500 0.500 0.083 Pm
0.500 0.500 0.917 Pm
0.500 0.500 0.708 Pm
0.500 0.500 0.500 Pm
0.500 0.500 0.292 Pm
0.000 0.000 0.396 Cd
0.000 0.000 0.810 Cd
0.000 0.000 0.190 Cd
0.000 0.000 0.604 Cd
0.000 0.000 0.000 Ni
```

Summary:
DFT formation energy ... -29 kJ per mole of atoms
Total moment ... 0.3 μB per cell
D(E_F) ... 9.70 states/eV/cell

---

(3)
Crystalline Ir2RuSe at its relaxed geometry, computed with PBE.

Structure (POSCAR):
```
Ir2RuSe
1.0
4.676 -0.004 0.000
1.202 4.519 0.000
-2.939 -2.257 2.852
Ir Se Ru
2 1 1
direct
0.000 0.000 0.000 Ir
0.250 0.750 0.500 Ir
0.750 0.250 0.500 Se
0.500 0.500 0.000 Ru
```

Summary:
Total moment ... 0.0 μB per cell
Raw formation energy ... 0.4829 eV per atom
D(E_F) ... 2.58 states/eV/cell

---

(4)
Crystalline Mg2FePb at its relaxed geometry, computed with PBE.

Structure (POSCAR):
```
Mg2FePb
1.0
5.739 -0.089 0.049
4.750 3.222 0.049
1.964 0.587 4.261
Fe Mg Pb
1 2 1
direct
0.250 0.250 0.250 Fe
0.974 0.974 0.026 Mg
0.526 0.526 0.474 Mg
0.750 0.750 0.750 Pb
```

Summary:
DFT formation energy ... 25 kJ per mole of atoms
Total moment ... 2.4 μB per cell
D(E_F) ... 3.32 states/eV/cell

---

(5)
Crystalline DyHo6In6 at its relaxed geometry, computed with PBE.

Structure (POSCAR):
```
DyHo6In6
1.0
-0.044 -4.084 4.722
4.194 4.625 -0.089
-6.799 6.268 5.359
Ho Dy In
6 1 6
direct
0.667 0.333 0.500 Ho
0.333 0.667 0.000 Ho
0.667 0.333 0.000 Ho
0.000 0.000 0.662 Ho
0.000 0.000 0.338 Ho
0.333 0.667 0.500 Ho
0.000 0.000 0.000 Dy
0.500 0.500 0.246 In
0.500 0.500 0.754 In
0.500 0.000 0.246 In
0.500 0.000 0.754 In
0.000 0.500 0.246 In
0.000 0.500 0.754 In
```

Summary:
DFT formation energy ... -30 kJ per mole of atoms
Total moment ... 0.0 μB per cell
D(E_F) ... 15.14 states/eV/cell

---

(6)
Crystalline K2TaRe at its relaxed geometry, computed with PBE.

Structure (POSCAR):
```
K2TaRe
1.0
-4.678 3.495 11.325
-7.758 -10.108 -0.085
-4.604 -4.554 6.672
Re K Ta
2 4 2
direct
0.000 0.000 0.000 Re
0.750 0.250 0.500 Re
0.961 0.625 0.250 K
0.875 0.039 0.750 K
0.375 0.211 0.750 K
0.789 0.125 0.250 K
0.250 0.750 0.500 Ta
0.500 0.500 0.000 Ta
```

Summary:
DFT formation energy ... 172 kJ per mole of atoms
Total moment ... 0.0 μB per cell
Energy above the most stable polymorph in this dataset ... 1071 meV/atom
D(E_F) ... 11.00 states/eV/cell

---

(7)
Crystalline Ta2NbV2 at its relaxed geometry, computed with PBE.

Structure (POSCAR):
```
Ta2NbV2
1.0
7.068 0.000 0.000
0.000 7.068 0.000
0.000 0.000 3.399
Ta V Nb
4 4 2
direct
0.841 0.341 0.500 Ta
0.659 0.841 0.500 Ta
0.341 0.159 0.500 Ta
0.159 0.659 0.500 Ta
0.139 0.361 0.000 V
0.639 0.139 0.000 V
0.861 0.639 0.000 V
0.361 0.861 0.000 V
0.000 0.000 0.000 Nb
0.500 0.500 0.000 Nb
```

Summary:
DFT formation energy ... 28 kJ per mole of atoms
Total moment ... 0.0 μB per cell
D(E_F) ... 10.94 states/eV/cell

---

(8)
Crystalline Gd2ErHg at its relaxed geometry, computed with PBE.

Structure (POSCAR):
```
Gd2ErHg
1.0
-0.522 -2.390 -2.666
3.408 0.495 -1.112
2.716 -6.601 5.386
Er Gd Hg
1 2 1
direct
0.500 0.500 0.500 Er
0.000 0.000 0.774 Gd
0.000 0.000 0.226 Gd
0.500 0.500 0.000 Hg
```

Summary:
DFT formation energy ... -21 kJ per mole of atoms
Total moment ... 15.0 μB per cell
Energy above the most stable polymorph in this dataset ... 0 meV/atom
D(E_F) ... 6.21 states/eV/cell

---

(9)
Crystalline ScRuRh at its relaxed geometry, computed with PBE.

Structure (POSCAR):
```
ScRuRh
1.0
-2.291 1.419 -3.289
-0.522 -2.445 -3.440
-3.803 -1.708 -0.837
Sc Rh Ru
1 1 1
direct
0.750 0.750 0.750 Sc
0.000 0.000 0.000 Rh
0.500 0.500 0.500 Ru
```

Summary:
DFT formation energy ... 31 kJ per mole of atoms
Total moment ... 0.0 μB per cell
Energy above the most stable polymorph in this dataset ... 689 meV/atom
D(E_F) ... 3.85 states/eV/cell

---

(10)
Crystalline TlAuI3 at its relaxed geometry, computed with PBE.

Structure (POSCAR):
```
TlAuI3
1.0
-2.933 8.343 0.487
-7.763 -2.845 1.992
2.302 1.345 10.893
Au I Tl
4 12 4
direct
0.949 0.781 0.595 Au
0.551 0.281 0.905 Au
0.449 0.719 0.095 Au
0.051 0.219 0.405 Au
0.301 0.123 0.888 I
0.702 0.889 0.510 I
0.798 0.389 0.990 I
0.699 0.877 0.112 I
0.617 0.384 0.669 I
0.117 0.116 0.169 I
0.202 0.611 0.010 I
0.383 0.616 0.331 I
0.298 0.111 0.490 I
0.801 0.377 0.388 I
0.883 0.884 0.831 I
0.199 0.623 0.612 I
0.478 0.233 0.212 Tl
0.022 0.733 0.288 Tl
0.522 0.767 0.788 Tl
0.978 0.267 0.712 Tl
```

Summary:
Total moment ... 0.0 μB per cell
Energy above the most stable polymorph in this dataset ... 84 meV/atom
Raw formation energy ... -0.2239 eV per atom
D(E_F) ... 8.48 states/eV/cell

---

(11)
Crystalline La2GaRh4 at its relaxed geometry, computed with PBE.

Structure (POSCAR):
```
La2GaRh4
1.0
4.674 0.000 0.000
0.000 4.674 0.000
2.337 2.337 6.905
Rh Ga La
4 1 2
direct
0.000 0.500 0.000 Rh
0.500 0.000 0.000 Rh
0.827 0.827 0.346 Rh
0.173 0.173 0.654 Rh
0.000 0.000 0.000 Ga
0.350 0.350 0.299 La
0.650 0.650 0.701 La
```

Summary:
DFT formation energy ... -35 kJ per mole of atoms
Total moment ... 0.0 μB per cell
D(E_F) ... 1.78 states/eV/cell

---

(12)
Crystalline KPaFeSe4 at its relaxed geometry, computed with PBE.

Structure (POSCAR):
```
KPaFeSe4
1.0
-4.194 3.332 4.060
-1.100 -5.270 3.188
8.645 0.391 3.630
Se K Fe Pa
8 2 2 2
direct
0.569 0.250 0.840 Se
0.431 0.750 0.160 Se
0.981 0.488 0.298 Se
0.559 0.250 0.404 Se
0.019 0.988 0.702 Se
0.019 0.512 0.702 Se
0.981 0.012 0.298 Se
0.441 0.750 0.596 Se
0.753 0.750 0.950 K
0.247 0.250 0.050 K
0.754 0.250 0.664 Fe
0.246 0.750 0.336 Fe
0.261 0.250 0.558 Pa
0.739 0.750 0.442 Pa
```

Summary:
Total moment ... 6.5 μB per cell
Raw formation energy ... -1.0010 eV per atom
D(E_F) ... 9.12 states/eV/cell